The following is a DFT calculation (PBE) of an optimized crystal structure of CeMg3Zn3.

Unit cell a=4.7503 b=8.4062 c=8.4149 alpha=119.96 beta=90.00 gamma=90.00
Last column: nearest neighbours and their distance in Å.
Fractional coordinates of all 14 atoms:
Ce1 0.7500 0.3337 0.6669  9 Zn 3.04-3.08
Ce2 0.2500 0.6663 0.3331  9 Zn 3.04-3.08
Mg1 0.7500 0.7765 0.0226  4 Zn 2.75-3.02
Mg2 0.7500 0.2461 0.2239  4 Zn 2.75-3.02
Mg3 0.7500 0.9777 0.7538  4 Zn 2.75-3.02
Mg4 0.2500 0.2235 0.9774  4 Zn 2.75-3.02
Mg5 0.2500 0.7539 0.7761  4 Zn 2.75-3.02
Mg6 0.2500 0.0223 0.2462  4 Zn 2.75-3.02
Zn1 0.7500 0.9175 0.3957  4 Mg 2.75-3.02, 2 Zn 2.87, 2 Ce 3.04
Zn2 0.7500 0.4780 0.0824  4 Mg 2.75-3.02, 2 Zn 2.87, 2 Ce 3.04
Zn3 0.7500 0.6045 0.5215  4 Mg 2.75-3.02, 2 Zn 2.87, 3 Ce 3.04-3.07
Zn4 0.2500 0.0825 0.6043  4 Mg 2.75-3.02, 2 Zn 2.87, 2 Ce 3.04
Zn5 0.2500 0.5220 0.9176  4 Mg 2.75-3.02, 2 Zn 2.87, 2 Ce 3.04
Zn6 0.2500 0.3955 0.4785  4 Mg 2.75-3.02, 2 Zn 2.87, 3 Ce 3.04-3.07

## Properties
Mass density: 4.67 g cm⁻³
ΔH_f (0 K): -0.12 eV/atom
E: -30.706 eV per cell
Symmetry: P2_1/m, No. 11